Ce2SbC | PBE | relaxed

Total magnetic moment, Bohr magnetons per cell: 4.2
ΔE_f (raw), eV/atom: -0.561

a = 7.3851 Å, b = 4.6416 Å, c = 10.9722 Å
α = 90.00°, β = 90.00°, γ = 90.00°
Closest atoms and distances in Å follow each position.
Space group Pnma (No. 62)
Inequivalent atoms, fractional coordinates:
1 Ce 0.1053 0.2500 0.2166 [4 per cell]  1 C 2.29
2 Ce 0.1538 0.2500 0.5543 [4 per cell]  3 C 2.38-2.49
3 Sb 0.1591 0.2500 0.8685 [4 per cell]  7 Ce 3.17-3.45, 1 C 3.34
4 C 0.0604 0.7500 0.6073 [4 per cell]  4 Ce 2.29-2.49